An optimized crystal structure of Zr3Au, computed with PBEsol.

Geometry as POSCAR:
```
Zr3Au
1.0
-2.3748 0.6121 -1.9192
-0.9801 -5.3512 1.1905
-0.9760 3.6789 4.0653
Zr Au
3 1
Cartesian
-0.9780 -0.8362 2.6279
-1.6754 2.1455 1.0731
-1.6775 -2.3696 -0.3643
0.0000 0.0000 0.0000
```

Summary:
**ΔE_f**: -0.1856 eV per atom
**Calculated total energy**: -31.94 eV for the cell shown
**Space group**: R-3m (166)



An optimized crystal structure of Re2MoSe, computed with PBEsol.

Geometry as POSCAR:
```
Re2MoSe
1.0
3.7451 0.0000 0.0000
0.0000 3.7451 0.0000
-1.8725 -1.8725 4.2540
Re Mo Se
2 1 1
Cartesian
1.8725 0.0000 2.1270
0.0000 0.0000 0.0000
0.0000 1.8725 2.1270
1.8725 1.8725 0.0000
```

Summary:
**Formation energy from raw total energies**: 250 kJ/mol of formula units
**Calculated total energy**: -39.69 eV for the cell shown
**Space group**: I-4m2 (119)



An optimized crystal structure of TlZn2Cr, computed with PBEsol.

Geometry as POSCAR:
```
TlZn2Cr
1.0
-0.6142 0.6908 3.0653
0.1372 -3.1104 0.7284
6.4830 0.5605 1.1726
Zn Cr Tl
2 1 1
Cartesian
1.3718 -1.0706 2.1881
0.2906 0.0251 0.0526
2.9831 0.2579 0.5396
4.6020 -0.7913 2.7724
```

Summary:
**ΔE_f**: 0.3865 eV per atom
**Distance to the lowest polymorph of the same formula**: 32.8 meV per atom
**Calculated total energy**: -14.49 eV for the cell shown
**Space group**: P4mm (99)



An optimized crystal structure of SmAl20Cr2, computed with PBEsol.

Geometry as POSCAR:
```
SmAl20Cr2
1.0
10.1401 0.0000 0.0000
5.0701 8.7816 0.0000
5.0701 2.9272 8.2794
Al Sm Cr
40 2 4
Cartesian
10.1401 1.5810 2.7787
10.1401 4.2734 7.5705
12.4850 7.2082 0.5644
12.4850 4.5006 1.5055
10.1401 3.1468 0.5644
7.7953 2.9196 3.7414
10.1401 7.4532 5.2702
7.6051 1.4636 1.0349
15.2102 7.1828 5.0790
2.5350 1.4636 1.0349
8.7555 6.6538 3.0091
13.8410 7.9911 2.7787
7.7953 7.2082 0.5644
6.4393 5.2835 6.6078
8.7842 9.3449 6.6078
15.2102 10.3804 7.3401
7.7953 4.5006 1.5055
5.0701 5.8544 1.0349
6.4260 5.2911 3.7414
13.8542 5.2911 3.7414
12.4850 2.9196 3.7414
16.5948 9.5810 5.0790
11.5093 6.6449 7.5705
13.8256 9.5810 5.0790
10.1401 8.5620 1.5055
11.5248 5.0550 5.2702
5.0701 2.9272 5.1746
13.8256 7.9822 7.3401
6.4393 7.9911 2.7787
8.7555 5.0550 5.2702
12.4850 2.9348 6.6078
11.5248 6.6538 3.0091
11.4961 9.3449 6.6078
8.7709 6.6449 7.5705
8.7709 9.3525 3.7414
13.8410 5.2835 6.6078
10.1401 4.2556 3.0091
11.5093 9.3525 3.7414
16.5948 7.9822 7.3401
7.7953 2.9348 6.6078
0.0000 0.0000 0.0000
5.0701 2.9272 2.0698
10.1401 2.9272 5.1746
12.6752 7.3180 5.1746
10.1401 5.8544 1.0349
7.6051 7.3180 5.1746
```

Summary:
**ΔE_f**: -0.1451 eV per atom
**Calculated total energy**: -221.49 eV for the cell shown
**Space group**: Fd-3m (227)



An optimized crystal structure of Tl2AsNO, computed with PBEsol.

Geometry as POSCAR:
```
Tl2AsNO
1.0
3.7342 0.0000 0.0000
0.0000 5.4012 0.0000
0.0000 0.0000 5.4012
Tl O N As
2 1 1 1
Cartesian
0.0000 0.0000 2.7006
0.0000 2.7006 0.0000
1.8671 0.0000 0.0000
1.8671 2.7006 2.7006
0.0000 0.0000 0.0000
```

Summary:
**Formation energy from raw total energies**: 395 kJ/mol of formula units
**Calculated total energy**: -20.05 eV for the cell shown
**Space group**: P4/mmm (123)



An optimized crystal structure of Li3Ta, computed with PBEsol.

Geometry as POSCAR:
```
Li3Ta
1.0
-0.4012 2.1912 1.3226
-4.3932 -1.8843 1.7892
2.4753 -1.9657 4.0076
Li Ta
3 1
Cartesian
-1.1596 -0.8294 3.5597
1.2376 -0.9829 2.0038
-2.1966 -0.9422 0.8946
-0.2006 1.0956 0.6613
```

Summary:
**ΔE_f**: 0.5276 eV per atom
**Distance to the lowest polymorph of the same formula**: 55.4 meV per atom
**Calculated total energy**: -16.34 eV for the cell shown
**Space group**: P4/mmm (123)



Q: Look up the calculated total energy of the fifth one.
A: -20.05 eV for the cell shown



Copy entry 2 word for word.
An optimized crystal structure of Re2MoSe, computed with PBEsol.

Geometry as POSCAR:
```
Re2MoSe
1.0
3.7451 0.0000 0.0000
0.0000 3.7451 0.0000
-1.8725 -1.8725 4.2540
Re Mo Se
2 1 1
Cartesian
1.8725 0.0000 2.1270
0.0000 0.0000 0.0000
0.0000 1.8725 2.1270
1.8725 1.8725 0.0000
```

Summary:
**Formation energy from raw total energies**: 250 kJ/mol of formula units
**Calculated total energy**: -39.69 eV for the cell shown
**Space group**: I-4m2 (119)